DFT (GGA-PBE) results for an optimized crystal structure of Bi2IrO.

a b c (Å): 7.2339 7.2339 7.2339
angles (deg): 133.12 133.12 68.46
Positions (direct):
Bi: 0.0872 0.6250 0.9622
Bi: 0.3750 0.3372 0.4622
Bi: 0.6628 0.1250 0.0378
Bi: 0.8750 0.9128 0.5378
Ir: 0.2500 0.7500 0.5000
Ir: 0.5000 0.5000 0.0000
O: 0.0000 0.0000 0.0000
O: 0.7500 0.2500 0.5000

* spin magnetization: 0.0 μB per formula unit
* uncorrected formation energy: -0.083 eV per atom
* symmetry: I-42d (122)

DFT (GGA-PBE) results for an optimized crystal structure of Bi2Ir2O.

a b c (Å): 7.9620 7.9620 7.9620
angles (deg): 153.28 153.28 38.15
Positions (direct):
Bi: 0.1037 0.1037 0.0000
Bi: 0.8963 0.8963 0.0000
Ir: 0.2500 0.7500 0.5000
Ir: 0.7500 0.2500 0.5000
O: 0.5000 0.5000 0.0000

* spin magnetization: 0.0 μB per formula unit
* uncorrected formation energy: 0.221 eV per atom
* polymorph energy (0 for the lowest one): 0 meV per atom
* symmetry: I4/mmm (139)